1.
This record from Alexandria via LeMat-Bulk describes a geometry-optimized YAl2HgH structure. The functional is PBE-GGA.

Summary:
Crystal system: tetragonal

```
data_YAl2HgH
_chemical_formula_sum 'Y1 Al2 Hg1 H1'
_cell_length_a 4.440
_cell_length_b 4.330
_cell_length_c 4.440
_cell_angle_alpha 90.00
_cell_angle_beta 90.00
_cell_angle_gamma 90.00
_symmetry_space_group_name_H-M 'P 1'
_symmetry_Int_Tables_number 1
_symmetry_space_group_name_Hall 'P 1'
loop_
_atom_site_label
_atom_site_type_symbol
_atom_site_fract_x
_atom_site_fract_y
_atom_site_fract_z
Hg1 Hg 0.500 0.500 0.500
Y1 Y 0.000 0.500 0.000
Al1 Al 0.500 0.000 0.000
Al2 Al 0.000 0.000 0.500
H1 H 0.000 0.000 0.000
```

2.
This record from Alexandria via LeMat-Bulk describes a geometry-optimized Y2AlHgH structure. The functional is PBE-GGA.

Summary:
Crystal system: tetragonal

```
data_Y2AlHgH
_chemical_formula_sum 'Y2 Al1 Hg1 H1'
_cell_length_a 5.071
_cell_length_b 5.071
_cell_length_c 3.914
_cell_angle_alpha 90.00
_cell_angle_beta 90.00
_cell_angle_gamma 90.00
_symmetry_space_group_name_H-M 'P 1'
_symmetry_Int_Tables_number 1
_symmetry_space_group_name_Hall 'P 1'
loop_
_atom_site_label
_atom_site_type_symbol
_atom_site_fract_x
_atom_site_fract_y
_atom_site_fract_z
Al1 Al 0.000 0.000 0.500
Hg1 Hg 0.500 0.500 0.500
Y1 Y 0.500 0.000 0.000
Y2 Y 0.000 0.500 0.000
H1 H 0.000 0.000 0.000
```

3.
This record from Alexandria via LeMat-Bulk describes a geometry-optimized Zr2AlHgH structure. The functional is PBE-GGA.

Summary:
Crystal system: tetragonal

```
data_Zr2AlHgH
_chemical_formula_sum 'Zr2 Al1 Hg1 H1'
_cell_length_a 4.356
_cell_length_b 4.356
_cell_length_c 4.393
_cell_angle_alpha 90.00
_cell_angle_beta 90.00
_cell_angle_gamma 90.00
_symmetry_space_group_name_H-M 'P 1'
_symmetry_Int_Tables_number 1
_symmetry_space_group_name_Hall 'P 1'
loop_
_atom_site_label
_atom_site_type_symbol
_atom_site_fract_x
_atom_site_fract_y
_atom_site_fract_z
Zr1 Zr 0.000 0.500 0.000
Zr2 Zr 0.500 0.000 0.000
H1 H 0.000 0.000 0.000
Hg1 Hg 0.500 0.500 0.500
Al1 Al 0.000 0.000 0.500
```

4.
This record from Alexandria via LeMat-Bulk describes a geometry-optimized Ho12Al3H5 structure. The functional is PBE-GGA.

Summary:
Crystal system: cubic

```
data_Ho12Al3H5
_chemical_formula_sum 'Ho48 Al12 H20'
_cell_length_a 13.237
_cell_length_b 13.237
_cell_length_c 13.237
_cell_angle_alpha 109.47
_cell_angle_beta 109.47
_cell_angle_gamma 109.47
_symmetry_space_group_name_H-M 'P 1'
_symmetry_Int_Tables_number 1
_symmetry_space_group_name_Hall 'P 1'
loop_
_atom_site_label
_atom_site_type_symbol
_atom_site_fract_x
_atom_site_fract_y
_atom_site_fract_z
Ho1 Ho 0.596 0.887 0.405
Ho2 Ho 0.595 0.613 0.404
Ho3 Ho 0.096 0.191 0.208
Ho4 Ho 0.096 0.905 0.387
Ho5 Ho 0.517 0.208 0.113
Ho6 Ho 0.405 0.387 0.596
Ho7 Ho 0.387 0.405 0.096
Ho8 Ho 0.113 0.708 0.517
Ho9 Ho 0.017 0.405 0.809
Ho10 Ho 0.017 0.613 0.708
Ho11 Ho 0.904 0.095 0.613
Ho12 Ho 0.809 0.904 0.292
Ho13 Ho 0.191 0.096 0.708
Ho14 Ho 0.095 0.904 0.113
Ho15 Ho 0.387 0.983 0.792
Ho16 Ho 0.792 0.483 0.387
Ho17 Ho 0.708 0.596 0.191
Ho18 Ho 0.191 0.095 0.983
Ho19 Ho 0.292 0.404 0.809
Ho20 Ho 0.983 0.387 0.292
Ho21 Ho 0.517 0.309 0.905
Ho22 Ho 0.792 0.309 0.904
Ho23 Ho 0.405 0.017 0.309
Ho24 Ho 0.983 0.595 0.191
Ho25 Ho 0.208 0.691 0.096
Ho26 Ho 0.292 0.887 0.983
Ho27 Ho 0.691 0.483 0.595
Ho28 Ho 0.904 0.809 0.792
Ho29 Ho 0.113 0.404 0.095
Ho30 Ho 0.809 0.905 0.017
Ho31 Ho 0.309 0.792 0.404
Ho32 Ho 0.095 0.191 0.483
Ho33 Ho 0.887 0.596 0.905
Ho34 Ho 0.596 0.708 0.691
Ho35 Ho 0.595 0.983 0.691
Ho36 Ho 0.613 0.017 0.208
Ho37 Ho 0.404 0.292 0.309
Ho38 Ho 0.905 0.096 0.887
Ho39 Ho 0.309 0.517 0.405
Ho40 Ho 0.708 0.113 0.017
Ho41 Ho 0.887 0.292 0.483
Ho42 Ho 0.691 0.208 0.596
Ho43 Ho 0.208 0.517 0.613
Ho44 Ho 0.613 0.595 0.904
Ho45 Ho 0.905 0.809 0.517
Ho46 Ho 0.483 0.691 0.095
Ho47 Ho 0.483 0.792 0.887
Ho48 Ho 0.404 0.113 0.595
H1 H 0.375 0.250 0.125
H2 H 0.500 0.000 0.500
H3 H 0.125 0.750 0.375
H4 H 0.500 0.000 0.000
H5 H 0.625 0.875 0.250
H6 H 0.500 0.500 0.000
H7 H 0.750 0.125 0.875
H8 H 0.250 0.875 0.125
H9 H 0.125 0.375 0.250
H10 H 0.625 0.750 0.875
H11 H 0.000 0.500 0.500
H12 H 0.000 0.500 0.000
H13 H 0.250 0.375 0.625
H14 H 0.000 0.000 0.000
H15 H 0.875 0.250 0.625
H16 H 0.750 0.625 0.375
H17 H 0.875 0.625 0.750
H18 H 0.500 0.500 0.500
H19 H 0.000 0.000 0.500
H20 H 0.375 0.125 0.750
Al1 Al 0.625 0.250 0.375
Al2 Al 0.125 0.250 0.875
Al3 Al 0.250 0.125 0.375
Al4 Al 0.375 0.625 0.250
Al5 Al 0.875 0.750 0.125
Al6 Al 0.750 0.875 0.625
Al7 Al 0.625 0.375 0.750
Al8 Al 0.250 0.625 0.875
Al9 Al 0.125 0.875 0.750
Al10 Al 0.375 0.750 0.625
Al11 Al 0.875 0.125 0.250
Al12 Al 0.750 0.375 0.125
```

Number 1: uncorrected energy -18.56 eV/f.u.. Number 2: uncorrected energy -21.96 eV/f.u.. Number 3: uncorrected energy -25.65 eV/f.u.. Number 4: uncorrected energy -87.38 eV/f.u..